Record 1
GGA-PBE PuPd2Au2, relaxed; energy of formation from the pure elements = -1.056 eV/f.u.; D(E_F) = 16.67 states/eV/f.u.; SG = No. 15; crystal system = monoclinic; energy relative to the lowest polymorph listed for this composition = 70 meV/atom
1.0
2.776 -5.048 0.000
2.776 5.048 0.000
-2.766 0.000 7.532
Pu Pd Au
2 4 4
direct
0.125 0.875 0.750 Pu
0.875 0.125 0.250 Pu
0.139 0.861 0.250 Pd
0.389 0.611 0.750 Pd
0.611 0.389 0.250 Pd
0.861 0.139 0.750 Pd
0.279 0.529 0.060 Au
0.471 0.721 0.440 Au
0.529 0.279 0.560 Au
0.721 0.471 0.940 Au

Record 2
GGA-PBE Pu2Pd5Au2, relaxed; energy of formation from the pure elements = -3.260 eV/f.u.; D(E_F) = 21.10 states/eV/f.u.; SG = No. 12; crystal system = monoclinic; energy relative to the lowest polymorph listed for this composition = 0 meV/atom
1.0
6.273 -2.129 0.000
6.273 2.129 0.000
-2.159 0.000 6.194
Pu Pd Au
2 5 2
direct
0.155 0.155 0.489 Pu
0.845 0.845 0.511 Pu
0.056 0.056 0.839 Pd
0.392 0.392 0.835 Pd
0.500 0.500 0.500 Pd
0.608 0.608 0.165 Pd
0.944 0.944 0.161 Pd
0.284 0.284 0.158 Au
0.716 0.716 0.842 Au

Record 3
GGA-PBE Pu4PdAu3, relaxed; energy of formation from the pure elements = -3.205 eV/f.u.; D(E_F) = 34.52 states/eV/f.u.; SG = No. 47; crystal system = orthorhombic
1.0
3.087 0.000 0.000
0.000 5.471 0.000
0.000 0.000 10.901
Pu Pd Au
4 1 3
direct
0.000 0.000 0.000 Pu
0.000 0.000 0.500 Pu
0.000 0.500 0.243 Pu
0.000 0.500 0.757 Pu
0.500 0.500 0.000 Pd
0.500 0.000 0.249 Au
0.500 0.000 0.751 Au
0.500 0.500 0.500 Au